Entry from the Alexandria database: CsMo2Au after structural relaxation (PBE).

Computed properties:
density of states at the Fermi level	1.54	states/eV per atom
energy of formation from the pure elements	676.8	kJ/mol of formula units
space-group type	Fm-3m, No. 225
total moment	0.00	μB/atom
calculated total energy	-4.69	eV per atom

Cell lengths 4.7731, 4.7731, 4.7731 Å; angles 60.00, 60.00, 60.00 degrees
Last column: nearest neighbours and their distance in Å.
Element x y z (fractional)
Au (0.5000, 0.5000, 0.5000)  8 Mo 2.92
Mo (0.7500, 0.7500, 0.7500)  4 Au 2.92, 4 Cs 2.92
Mo (0.2500, 0.2500, 0.2500)  4 Au 2.92, 4 Cs 2.92
Cs (0.0000, 0.0000, 0.0000)  8 Mo 2.92